Record 1
{"formula": "TlPt5", "functional": "meta-GGA SCAN", "state": "single point on PBEsol structure", "lattice": [[2.024, -6.017, 0.000], [2.024, 6.017, 0.000], [0.000, 0.000, 3.920]], "species": ["Tl", "Pt", "Pt", "Pt", "Pt", "Pt"], "fractional_positions": [[0.000, 0.000, 0.000], [0.172, 0.828, 0.500], [0.333, 0.667, 0.000], [0.500, 0.500, 0.500], [0.667, 0.333, 0.000], [0.828, 0.172, 0.500]], "formation_energy_mev_per_atom": 60, "total_magnetization_mub_per_fu": 0.00}

---

Record 2
{"formula": "KCd2Cu", "functional": "meta-GGA SCAN", "state": "single point on PBEsol structure", "lattice": [[2.308, 1.332, 6.073], [-2.308, 1.332, 6.073], [0.000, -2.665, 6.073]], "species": ["K", "Cd", "Cd", "Cu"], "fractional_positions": [[0.000, 0.000, 0.000], [0.191, 0.191, 0.191], [0.809, 0.809, 0.809], [0.500, 0.500, 0.500]], "formation_energy_mev_per_atom": 29, "total_magnetization_mub_per_fu": 0.00, "relative_energy_ev_per_atom": 0.000}

---

Record 3
{"formula": "FeCuAg2", "functional": "meta-GGA SCAN", "state": "single point on PBEsol structure", "lattice": [[4.517, -1.349, 0.000], [4.517, 1.349, 0.000], [-0.920, 0.000, 4.641]], "species": ["Fe", "Cu", "Ag", "Ag"], "fractional_positions": [[0.000, 0.000, 0.000], [0.734, 0.734, 0.239], [0.247, 0.247, 0.760], [0.486, 0.486, 0.482]], "formation_energy_mev_per_atom": 263, "total_magnetization_mub_per_fu": 3.05, "relative_energy_ev_per_atom": 0.056}

---

Record 4
{"formula": "Ba7B12Ir12", "functional": "meta-GGA SCAN", "state": "single point on PBEsol structure", "lattice": [[7.642, 4.412, 2.786], [-7.642, 4.412, 2.786], [0.000, -8.824, 2.786]], "species": ["Ba", "Ba", "Ba", "Ba", "Ba", "Ba", "Ba", "B", "B", "B", "B", "B", "B", "B", "B", "B", "B", "B", "B", "Ir", "Ir", "Ir", "Ir", "Ir", "Ir", "Ir", "Ir", "Ir", "Ir", "Ir", "Ir"], "fractional_positions": [[0.000, 0.000, 0.000], [0.207, 0.207, 0.510], [0.207, 0.510, 0.207], [0.490, 0.793, 0.793], [0.510, 0.207, 0.207], [0.793, 0.490, 0.793], [0.793, 0.793, 0.490], [0.000, 0.227, 0.773], [0.000, 0.441, 0.559], [0.000, 0.559, 0.441], [0.000, 0.773, 0.227], [0.227, 0.000, 0.773], [0.227, 0.773, 0.000], [0.441, 0.000, 0.559], [0.441, 0.559, 0.000], [0.559, 0.000, 0.441], [0.559, 0.441, 0.000], [0.773, 0.000, 0.227], [0.773, 0.227, 0.000], [0.115, 0.736, 0.736], [0.169, 0.500, 0.831], [0.169, 0.831, 0.500], [0.264, 0.264, 0.885], [0.264, 0.885, 0.264], [0.500, 0.169, 0.831], [0.500, 0.831, 0.169], [0.736, 0.115, 0.736], [0.736, 0.736, 0.115], [0.831, 0.169, 0.500], [0.831, 0.500, 0.169], [0.885, 0.264, 0.264]], "formation_energy_mev_per_atom": -587, "total_magnetization_mub_per_fu": 0.95}

---

Record 5
{"formula": "BaSi2Mo", "functional": "meta-GGA SCAN", "state": "single point on PBEsol structure", "lattice": [[-1.770, 1.804, 6.821], [1.770, -1.804, 6.821], [1.770, 1.804, -6.821]], "species": ["Ba", "Si", "Si", "Mo"], "fractional_positions": [[0.000, 0.000, 0.000], [0.359, 0.359, 0.000], [0.739, 0.239, 0.500], [0.225, 0.725, 0.500]], "formation_energy_uncorrected_ev_per_atom": 0.075, "total_magnetization_mub_per_fu": 0.00, "relative_energy_ev_per_atom": 0.000}

---

Record 6
{"formula": "TlReSb2", "functional": "meta-GGA SCAN", "state": "single point on PBEsol structure", "lattice": [[-1.631, 1.678, 8.906], [1.631, -1.678, 8.906], [1.631, 1.678, -8.906]], "species": ["Tl", "Re", "Sb", "Sb"], "fractional_positions": [[0.000, 0.000, 0.000], [0.765, 0.265, 0.500], [0.342, 0.842, 0.500], [0.647, 0.647, 0.000]], "formation_energy_uncorrected_ev_per_atom": 0.365, "total_magnetization_mub_per_fu": 0.00, "relative_energy_ev_per_atom": 0.000}

---

Calculated values (eV/cell) of raw total energy for the records, taken in order: -422.97, -84.24, -95.01, -1237.38, -94.17, -216.52.